A relaxed structure of Na2SrSiS4. Source: Alexandria via LeMat-Bulk, functional PBE.

Output
Total moment = 0.00 μB/f.u.
E_form (uncorrected) = -1008 meV per atom

```
data_Na2SrSiS4
_chemical_formula_sum 'Na4 Sr2 Si2 S8'
_cell_length_a 8.0011
_cell_length_b 8.0011
_cell_length_c 8.0671
_cell_angle_alpha 120.28
_cell_angle_beta 120.28
_cell_angle_gamma 92.45
_symmetry_space_group_name_H-M 'P 1'
_symmetry_Int_Tables_number 1
_symmetry_space_group_name_Hall 'P 1'
loop_
_atom_site_label
_atom_site_fract_x
_atom_site_fract_y
_atom_site_fract_z
_atom_site_occupancy
Sr1 0.0000 0.5000 0.0000 1
Si1 0.5000 0.5000 0.5000 1
Si2 0.0000 0.0000 0.0000 1
Na1 0.0000 0.0000 0.5000 1
S1 0.2048 0.8152 0.0100 1
Na2 0.5000 0.0000 0.0000 1
S2 0.7476 0.7521 0.5386 1
Na3 0.5000 0.0000 0.5000 1
S3 0.7479 0.7524 0.9614 1
Na4 0.5000 0.5000 0.0000 1
S4 0.2524 0.2479 0.4614 1
Sr2 0.0000 0.5000 0.5000 1
S5 0.3152 0.7048 0.5100 1
S6 0.7952 0.1848 0.9900 1
S7 0.2521 0.2476 0.0386 1
S8 0.6848 0.2952 0.4900 1
```


A relaxed structure of NaSr2SiS. Source: Alexandria via LeMat-Bulk, functional PBE.

Output
Total moment = 0.70 μB/f.u.
E_form (uncorrected) = -639 meV per atom

```
data_NaSr2SiS
_chemical_formula_sum 'Na1 Sr2 Si1 S1'
_cell_length_a 5.6971
_cell_length_b 4.9995
_cell_length_c 5.6971
_cell_angle_alpha 90.00
_cell_angle_beta 90.00
_cell_angle_gamma 90.00
_symmetry_space_group_name_H-M 'P 1'
_symmetry_Int_Tables_number 1
_symmetry_space_group_name_Hall 'P 1'
loop_
_atom_site_label
_atom_site_fract_x
_atom_site_fract_y
_atom_site_fract_z
_atom_site_occupancy
Sr1 0.5000 0.0000 0.0000 1
Sr2 0.0000 0.0000 0.5000 1
Si1 0.5000 0.5000 0.5000 1
Na1 0.0000 0.5000 0.0000 1
S1 0.0000 0.0000 0.0000 1
```


A relaxed structure of Na3Tb3SiS8. Source: Alexandria via LeMat-Bulk, functional PBE.

Output
Total moment = 0.00 μB/f.u.
E_form (uncorrected) = -1508 meV per atom

```
data_Na3Tb3SiS8
_chemical_formula_sum 'Na3 Tb3 Si1 S8'
_cell_length_a 7.7966
_cell_length_b 7.7963
_cell_length_c 8.1062
_cell_angle_alpha 118.75
_cell_angle_beta 90.00
_cell_angle_gamma 120.00
_symmetry_space_group_name_H-M 'P 1'
_symmetry_Int_Tables_number 1
_symmetry_space_group_name_Hall 'P 1'
loop_
_atom_site_label
_atom_site_fract_x
_atom_site_fract_y
_atom_site_fract_z
_atom_site_occupancy
Tb1 0.5000 0.0000 0.5000 1
S1 0.7427 0.4855 0.7280 1
S2 0.2219 0.0085 0.2953 1
S3 0.2135 0.9915 0.7047 1
S4 0.2133 0.4266 0.7046 1
Na1 0.0000 0.5000 0.0000 1
S5 0.7781 0.9915 0.7047 1
Na2 0.5000 0.5000 0.0000 1
S6 0.2573 0.5145 0.2720 1
S7 0.7865 0.0085 0.2953 1
Tb2 0.0000 0.5000 0.5000 1
Si1 0.0000 0.0000 0.5000 1
S8 0.7867 0.5734 0.2954 1
Tb3 0.5000 0.5000 0.5000 1
Na3 0.0000 0.0000 0.0000 1
```


A relaxed structure of Na2SiTcS. Source: Alexandria via LeMat-Bulk, functional PBE.

Output
Total moment = 3.34 μB/f.u.
E_form (uncorrected) = 802 meV per atom

```
data_Na2SiTcS
_chemical_formula_sum 'Na2 Si1 Tc1 S1'
_cell_length_a 4.8982
_cell_length_b 5.0044
_cell_length_c 4.8982
_cell_angle_alpha 90.00
_cell_angle_beta 90.00
_cell_angle_gamma 90.00
_symmetry_space_group_name_H-M 'P 1'
_symmetry_Int_Tables_number 1
_symmetry_space_group_name_Hall 'P 1'
loop_
_atom_site_label
_atom_site_fract_x
_atom_site_fract_y
_atom_site_fract_z
_atom_site_occupancy
Na1 0.0000 0.0000 0.5000 1
Tc1 0.5000 0.5000 0.5000 1
Si1 0.0000 0.5000 0.0000 1
S1 0.0000 0.0000 0.0000 1
Na2 0.5000 0.0000 0.0000 1
```


A relaxed structure of Na2SiTeS4. Source: Alexandria via LeMat-Bulk, functional PBE.

Output
Total moment = 0.00 μB/f.u.
E_form (uncorrected) = -711 meV per atom

```
data_Na2SiTeS4
_chemical_formula_sum 'Na2 Si1 Te1 S4'
_cell_length_a 6.3833
_cell_length_b 5.6447
_cell_length_c 7.3857
_cell_angle_alpha 107.52
_cell_angle_beta 125.55
_cell_angle_gamma 86.00
_symmetry_space_group_name_H-M 'P 1'
_symmetry_Int_Tables_number 1
_symmetry_space_group_name_Hall 'P 1'
loop_
_atom_site_label
_atom_site_fract_x
_atom_site_fract_y
_atom_site_fract_z
_atom_site_occupancy
S1 0.3579 0.8983 0.2902 1
Na1 0.2020 0.3296 0.4717 1
S2 0.6971 0.6246 0.7268 1
Si1 0.7076 0.7412 0.4767 1
Te1 0.1307 0.4538 0.9358 1
S3 0.0480 0.9892 0.6310 1
Na2 0.5513 0.9076 0.0312 1
S4 0.6924 0.4427 0.2107 1
```


A relaxed structure of NaSiTe2S6. Source: Alexandria via LeMat-Bulk, functional PBE.

Output
Total moment = 0.00 μB/f.u.
E_form (uncorrected) = -259 meV per atom

```
data_NaSiTe2S6
_chemical_formula_sum 'Na2 Si2 Te4 S12'
_cell_length_a 7.3563
_cell_length_b 10.1366
_cell_length_c 10.1366
_cell_angle_alpha 86.84
_cell_angle_beta 67.39
_cell_angle_gamma 67.39
_symmetry_space_group_name_H-M 'P 1'
_symmetry_Int_Tables_number 1
_symmetry_space_group_name_Hall 'P 1'
loop_
_atom_site_label
_atom_site_fract_x
_atom_site_fract_y
_atom_site_fract_z
_atom_site_occupancy
S1 0.2913 0.3926 0.2962 1
Si1 0.2500 0.1462 0.8538 1
S2 0.0379 0.6803 0.1152 1
Na1 0.2500 0.8603 0.1397 1
S3 0.8094 0.0512 0.1474 1
S4 0.1906 0.9488 0.8526 1
S5 0.4621 0.8848 0.3197 1
S6 0.6906 0.8526 0.9488 1
S7 0.7913 0.2962 0.3926 1
S8 0.9621 0.3197 0.8848 1
Si2 0.7500 0.8538 0.1462 1
Te1 0.4985 0.1894 0.3665 1
S9 0.5379 0.1152 0.6803 1
S10 0.7087 0.6074 0.7038 1
Na2 0.7500 0.1397 0.8603 1
S11 0.3094 0.1474 0.0512 1
Te2 0.5015 0.8106 0.6335 1
Te3 0.0015 0.6335 0.8106 1
Te4 0.9985 0.3665 0.1894 1
S12 0.2087 0.7038 0.6074 1
```


A relaxed structure of Na2TiSiS4. Source: Alexandria via LeMat-Bulk, functional PBE.

Output
Total moment = 1.98 μB/f.u.
E_form (uncorrected) = -934 meV per atom

```
data_Na2TiSiS4
_chemical_formula_sum 'Na2 Ti1 Si1 S4'
_cell_length_a 6.2415
_cell_length_b 6.2415
_cell_length_c 6.2415
_cell_angle_alpha 98.52
_cell_angle_beta 115.21
_cell_angle_gamma 115.21
_symmetry_space_group_name_H-M 'P 1'
_symmetry_Int_Tables_number 1
_symmetry_space_group_name_Hall 'P 1'
loop_
_atom_site_label
_atom_site_fract_x
_atom_site_fract_y
_atom_site_fract_z
_atom_site_occupancy
S1 0.0360 0.1849 0.5704 1
S2 0.9640 0.5345 0.1490 1
Ti1 0.5000 0.2500 0.7500 1
S3 0.3855 0.8510 0.8151 1
Na1 0.0000 0.0000 0.0000 1
Si1 0.0000 0.5000 0.5000 1
Na2 0.5000 0.7500 0.2500 1
S4 0.6145 0.4296 0.4655 1
```


A relaxed structure of NaTl2SiS4. Source: Alexandria via LeMat-Bulk, functional PBE.

Output
Total moment = 0.00 μB/f.u.
E_form (uncorrected) = -413 meV per atom

```
data_NaTl2SiS4
_chemical_formula_sum 'Na2 Tl4 Si2 S8'
_cell_length_a 7.9612
_cell_length_b 7.9612
_cell_length_c 8.5311
_cell_angle_alpha 122.40
_cell_angle_beta 122.40
_cell_angle_gamma 89.62
_symmetry_space_group_name_H-M 'P 1'
_symmetry_Int_Tables_number 1
_symmetry_space_group_name_Hall 'P 1'
loop_
_atom_site_label
_atom_site_fract_x
_atom_site_fract_y
_atom_site_fract_z
_atom_site_occupancy
Si1 0.5000 0.5000 0.5000 1
Tl1 0.0000 0.0000 0.5000 1
Na1 0.0000 0.5000 0.5000 1
S1 0.2458 0.2539 0.4399 1
S2 0.7121 0.3075 0.5098 1
Tl2 0.5000 0.0000 0.0000 1
S3 0.2461 0.2542 0.0601 1
Si2 0.0000 0.0000 0.0000 1
S4 0.7539 0.7458 0.9399 1
Tl3 0.5000 0.5000 0.0000 1
S5 0.2879 0.6925 0.4902 1
S6 0.8075 0.2121 0.0098 1
Tl4 0.5000 0.0000 0.5000 1
Na2 0.0000 0.5000 0.0000 1
S7 0.7542 0.7461 0.5601 1
S8 0.1925 0.7879 0.9902 1
```


A relaxed structure of Na3Tm3SiS8. Source: Alexandria via LeMat-Bulk, functional PBE.

Output
Total moment = 0.00 μB/f.u.
E_form (uncorrected) = -1526 meV per atom

```
data_Na3Tm3SiS8
_chemical_formula_sum 'Na3 Tm3 Si1 S8'
_cell_length_a 7.6607
_cell_length_b 7.6610
_cell_length_c 8.0719
_cell_angle_alpha 118.36
_cell_angle_beta 90.00
_cell_angle_gamma 120.00
_symmetry_space_group_name_H-M 'P 1'
_symmetry_Int_Tables_number 1
_symmetry_space_group_name_Hall 'P 1'
loop_
_atom_site_label
_atom_site_fract_x
_atom_site_fract_y
_atom_site_fract_z
_atom_site_occupancy
S1 0.2586 0.5172 0.2762 1
Na1 0.0000 0.0000 0.0000 1
S2 0.7845 0.0115 0.2962 1
S3 0.7414 0.4828 0.7238 1
Tm1 0.5000 0.0000 0.5000 1
S4 0.2155 0.9885 0.7038 1
S5 0.2270 0.0115 0.2962 1
Si1 0.0000 0.0000 0.5000 1
Na2 0.5000 0.5000 0.0000 1
Tm2 0.0000 0.5000 0.5000 1
Tm3 0.5000 0.5000 0.5000 1
S6 0.7846 0.5692 0.2964 1
Na3 0.0000 0.5000 0.0000 1
S7 0.2154 0.4308 0.7036 1
S8 0.7730 0.9885 0.7038 1
```


A relaxed structure of NaYSiS4. Source: Alexandria via LeMat-Bulk, functional PBE.

Output
Total moment = 0.00 μB/f.u.
E_form (uncorrected) = -1336 meV per atom

```
data_NaYSiS4
_chemical_formula_sum 'Na2 Y2 Si2 S8'
_cell_length_a 6.4032
_cell_length_b 6.5856
_cell_length_c 7.9645
_cell_angle_alpha 90.00
_cell_angle_beta 105.71
_cell_angle_gamma 90.00
_symmetry_space_group_name_H-M 'P 1'
_symmetry_Int_Tables_number 1
_symmetry_space_group_name_Hall 'P 1'
loop_
_atom_site_label
_atom_site_fract_x
_atom_site_fract_y
_atom_site_fract_z
_atom_site_occupancy
Si1 0.2370 0.7500 0.3152 1
S1 0.5602 0.2500 0.8522 1
S2 0.0133 0.5009 0.2706 1
Na1 0.2539 0.2500 0.0630 1
S3 0.9867 0.4991 0.7294 1
S4 0.4398 0.7500 0.1478 1
Y1 0.2245 0.2500 0.5540 1
S5 0.9867 0.0009 0.7294 1
Na2 0.7461 0.7500 0.9370 1
Si2 0.7630 0.2500 0.6848 1
S6 0.5800 0.2500 0.4187 1
S7 0.0133 0.9991 0.2706 1
S8 0.4200 0.7500 0.5813 1
Y2 0.7755 0.7500 0.4460 1
```